Density functional theory data (GGA+U) for a relaxed Li4V2P3O12 crystal.

uncorrected energy = -6.8904 eV per atom
excess energy over the best structure of this formula in the dataset = 63 meV per atom
space-group type = R-3c, No. 167

a = 8.438 Å, b = 8.438 Å, c = 8.438 Å
α = 65.18°, β = 65.18°, γ = 65.18°
Sites, in units of the cell vectors:
Li (0.000, 0.000, 0.000)
Li (0.156, 0.750, 0.344)
Li (0.250, 0.656, 0.844)
Li (0.344, 0.156, 0.750)
Li (0.500, 0.500, 0.500)
Li (0.656, 0.844, 0.250)
Li (0.750, 0.344, 0.156)
Li (0.844, 0.250, 0.656)
V (0.144, 0.144, 0.144)
V (0.356, 0.356, 0.356)
V (0.644, 0.644, 0.644)
V (0.856, 0.856, 0.856)
P (0.054, 0.446, 0.750)
P (0.250, 0.946, 0.554)
P (0.446, 0.750, 0.054)
P (0.554, 0.250, 0.946)
P (0.750, 0.054, 0.446)
P (0.946, 0.554, 0.250)
O (0.024, 0.606, 0.813)
O (0.073, 0.256, 0.901)
O (0.099, 0.927, 0.744)
O (0.106, 0.524, 0.313)
O (0.187, 0.976, 0.394)
O (0.244, 0.427, 0.599)
O (0.256, 0.901, 0.073)
O (0.313, 0.106, 0.524)
O (0.394, 0.187, 0.976)
O (0.401, 0.756, 0.573)
O (0.427, 0.599, 0.244)
O (0.476, 0.687, 0.894)
O (0.524, 0.313, 0.106)
O (0.573, 0.401, 0.756)
O (0.599, 0.244, 0.427)
O (0.606, 0.813, 0.024)
O (0.687, 0.894, 0.476)
O (0.744, 0.099, 0.927)
O (0.756, 0.573, 0.401)
O (0.813, 0.024, 0.606)
O (0.894, 0.476, 0.687)
O (0.901, 0.073, 0.256)
O (0.927, 0.744, 0.099)
O (0.976, 0.394, 0.187)